Below is a geometry-optimized FeBi10Se10 structure, with properties calculated at the PBE-GGA level.

a b c (Å): 8.789 11.396 12.754
angles (deg): 90.00 90.00 90.00
Each line ends with the local moment (μB).
Atoms (fractional coordinates):
Bi1 0.738 0.000 0.000  0.00
Bi2 0.714 0.870 0.584  -0.01
Bi3 0.738 0.500 0.500  0.00
Bi4 0.714 0.370 0.916  -0.01
Bi5 0.714 0.630 0.084  -0.01
Bi6 0.286 0.630 0.084  -0.01
Bi7 0.262 0.500 0.500  0.00
Bi8 0.286 0.870 0.584  -0.01
Bi9 0.000 0.247 0.168  0.00
Bi10 0.500 0.134 0.663  -0.01
Bi11 0.500 0.634 0.837  -0.01
Bi12 0.262 0.000 0.000  0.00
Bi13 0.714 0.130 0.416  -0.01
Bi14 0.000 0.753 0.832  0.00
Bi15 0.000 0.253 0.668  0.00
Bi16 0.000 0.747 0.332  0.00
Bi17 0.286 0.130 0.416  -0.01
Bi18 0.500 0.366 0.163  -0.01
Bi19 0.286 0.370 0.916  -0.01
Bi20 0.500 0.866 0.337  -0.01
Se1 0.500 0.146 0.909  -0.01
Se2 0.500 0.354 0.409  -0.01
Se3 0.692 0.156 0.186  -0.01
Se4 0.000 0.992 0.351  -0.01
Se5 0.692 0.656 0.314  -0.01
Se6 0.000 0.492 0.149  -0.01
Se7 0.000 0.508 0.851  -0.01
Se8 0.500 0.646 0.591  -0.01
Se9 0.000 0.830 0.042  0.00
Se10 0.692 0.844 0.814  -0.01
Se11 0.000 0.008 0.649  -0.01
Se12 0.308 0.156 0.186  -0.01
Se13 0.500 0.854 0.091  -0.01
Se14 0.692 0.344 0.686  -0.01
Se15 0.000 0.670 0.542  0.00
Se16 0.000 0.170 0.958  0.00
Se17 0.308 0.344 0.686  -0.01
Se18 0.308 0.844 0.814  -0.01
Se19 0.000 0.330 0.458  0.00
Se20 0.308 0.656 0.314  -0.01
Fe1 0.500 0.000 0.500  0.23
Fe2 0.500 0.500 0.000  0.23

## Properties
The symmetry is No. 55. The total energy comes out at -172.0 eV per cell.

Below is a geometry-optimized Y2Co3Sn5 structure, with properties calculated at the PBE-GGA level.

a b c (Å): 8.729 8.729 6.205
angles (deg): 110.31 110.31 93.05
Each line ends with the local moment (μB).
Atoms (fractional coordinates):
Co1 0.259 0.545 0.385  0.00
Co2 0.998 0.002 0.750  -0.15
Co3 0.002 0.998 0.250  -0.15
Co4 0.545 0.259 0.885  0.00
Co5 0.455 0.741 0.115  0.00
Co6 0.741 0.455 0.615  0.00
Sn1 0.507 0.493 0.250  0.00
Sn2 0.214 0.786 0.250  0.00
Sn3 0.099 0.257 0.183  0.00
Sn4 0.786 0.214 0.750  0.00
Sn5 0.775 0.225 0.250  0.00
Sn6 0.743 0.901 0.317  0.00
Sn7 0.225 0.775 0.750  0.00
Sn8 0.493 0.507 0.750  0.00
Sn9 0.257 0.099 0.683  0.00
Sn10 0.901 0.743 0.817  0.00
Y1 0.883 0.576 0.224  0.00
Y2 0.576 0.883 0.724  0.00
Y3 0.424 0.117 0.276  0.00
Y4 0.117 0.424 0.776  0.00

## Properties
The symmetry is No. 15. The total energy comes out at -115.4 eV per cell.

Below is a geometry-optimized Dy2HfS5 structure, with properties calculated at the PBE-GGA level.

a b c (Å): 11.507 7.241 7.729
angles (deg): 90.00 90.00 90.00
Atoms (fractional coordinates):
Hf1 0.994 0.576 0.250
Hf2 0.494 0.924 0.250
Hf3 0.506 0.076 0.750
Hf4 0.006 0.424 0.750
Dy1 0.821 0.023 0.997
Dy2 0.821 0.023 0.503
Dy3 0.179 0.977 0.497
Dy4 0.321 0.477 0.997
Dy5 0.679 0.523 0.003
Dy6 0.321 0.477 0.503
Dy7 0.679 0.523 0.497
Dy8 0.179 0.977 0.003
S1 0.003 0.053 0.750
S2 0.093 0.339 0.463
S3 0.593 0.161 0.037
S4 0.819 0.332 0.250
S5 0.503 0.447 0.750
S6 0.497 0.553 0.250
S7 0.907 0.661 0.963
S8 0.997 0.947 0.250
S9 0.708 0.811 0.250
S10 0.292 0.189 0.750
S11 0.319 0.168 0.250
S12 0.181 0.668 0.750
S13 0.593 0.161 0.463
S14 0.681 0.832 0.750
S15 0.792 0.311 0.750
S16 0.907 0.661 0.537
S17 0.407 0.839 0.963
S18 0.093 0.339 0.037
S19 0.208 0.689 0.250
S20 0.407 0.839 0.537

## Properties
The symmetry is No. 62. The total energy comes out at -219.5 eV per cell.

Below is a geometry-optimized ZrFeRe structure, with properties calculated at the PBE-GGA level.

a b c (Å): 6.788 3.820 7.399
angles (deg): 90.00 90.00 90.00
Each line ends with the local moment (μB).
Atoms (fractional coordinates):
Fe1 0.224 0.250 0.122  0.70
Fe2 0.276 0.750 0.622  0.68
Fe3 0.776 0.750 0.878  0.70
Fe4 0.724 0.250 0.378  0.68
Re1 0.147 0.750 0.939  0.02
Re2 0.647 0.750 0.561  0.02
Re3 0.853 0.250 0.061  0.02
Re4 0.353 0.250 0.439  0.02
Zr1 0.477 0.250 0.825  -0.02
Zr2 0.523 0.750 0.175  -0.02
Zr3 0.977 0.250 0.675  -0.01
Zr4 0.023 0.750 0.325  -0.01

## Properties
The symmetry is No. 62. The calculation puts the formation energy from the elements at -10.6 kJ per mole of atoms. The calculation puts the energy above the most stable polymorph in this dataset at 0 meV/atom.

Below is a geometry-optimized BIrAu2 structure, with properties calculated at the PBE-GGA level.

a b c (Å): 4.375 4.375 4.375
angles (deg): 60.00 60.00 60.00
Atoms (fractional coordinates):
B1 0.500 0.500 0.500
Au1 0.000 0.000 0.000
Au2 0.750 0.750 0.750
Ir1 0.250 0.250 0.250

## Properties
The symmetry is No. 216. The total energy comes out at -18.2 eV per cell.

Below is a geometry-optimized AlCdO3 structure, with properties calculated at the PBE-GGA level.

a b c (Å): 3.698 3.698 3.720
angles (deg): 90.00 90.00 90.00
Atoms (fractional coordinates):
Al1 0.500 0.500 0.580
O1 0.000 0.500 0.580
O2 0.500 0.000 0.580
O3 0.500 0.500 0.080
Cd1 0.000 0.000 0.079

## Properties
The symmetry is No. 123. The total energy comes out at -27.7 eV per cell.